PaCu2Hg2O6 PBE relaxed; total magnetization = 1.1 μB per cell; formation energy from raw total energies = -1316 kJ/mol of formula units; uncorrected energy = -5.608 eV/atom
1.0
5.884 0.000 0.000
-2.942 5.096 0.000
0.000 0.000 5.773
Hg O Pa Cu
2 6 1 2
Direct
0.667 0.333 0.698 Hg
0.333 0.667 0.302 Hg
0.034 0.323 0.784 O
0.966 0.677 0.216 O
0.711 0.034 0.216 O
0.677 0.711 0.784 O
0.289 0.966 0.784 O
0.323 0.289 0.216 O
0.000 0.000 0.000 Pa
0.667 0.333 0.223 Cu
0.333 0.667 0.777 Cu